# 1
# TlTcCl

A geometry-optimized TlTcCl structure (GGA-PBE, Alexandria).

Lattice parameters (Å, degrees): 6.8876 6.8876 6.8876 153.16 153.16 38.32
With the nearest neighbours (Å) after each atom.
Atoms (fractional coordinates):
Tl: 0.0000 0.0000 0.0000  4 Tc 3.00, 4 Tl 3.20
Tc: 0.3484 0.3484 0.0000  4 Cl 2.75, 4 Tl 3.00
Cl: 0.7275 0.7275 0.0000  4 Tc 2.75

Output
For the spin magnetization, the calculation gives 2.9 μB per cell. As for the density of states at the Fermi level: 1.324 states/eV/f.u. The final energy comes out at -4.34 eV per atom. As for the space-group type: I4mm, No. 107. Its crystal system is tetragonal.


# 2
# TlTc2Cl

A geometry-optimized TlTc2Cl structure (GGA-PBE, Alexandria).

Lattice parameters (Å, degrees): 4.6434 4.6434 3.1948 90.00 90.00 90.00
With the nearest neighbours (Å) after each atom.
Atoms (fractional coordinates):
Tl: 0.0000 0.0000 0.0000  8 Tc 2.82
Tc: 0.0000 0.5000 0.5000  4 Tl 2.82, 4 Cl 2.82
Tc: 0.5000 0.0000 0.5000  4 Tl 2.82, 4 Cl 2.82
Cl: 0.5000 0.5000 0.0000  8 Tc 2.82

Output
For the spin magnetization, the calculation gives 1.7 μB per cell. As for the density of states at the Fermi level: 5.459 states/eV/f.u. The final energy comes out at -5.10 eV per atom. As for the space-group type: P4/mmm, No. 123. Its crystal system is tetragonal.


# 3
# TlTc2Cl

A geometry-optimized TlTc2Cl structure (GGA-PBE, Alexandria).

Lattice parameters (Å, degrees): 3.0641 3.0641 8.9980 90.00 90.00 122.36
With the nearest neighbours (Å) after each atom.
Atoms (fractional coordinates):
Tl: 0.0000 0.0000 0.0000  4 Tc 2.84, 6 Tl 2.95-3.06
Tc: 0.5000 0.5000 0.2690  2 Cl 2.55, 2 Tl 2.84
Tc: 0.5000 0.5000 0.7310  2 Cl 2.55, 2 Tl 2.84
Cl: 0.0000 0.0000 0.5000  4 Tc 2.55

Output
For the spin magnetization, the calculation gives 2.4 μB per cell. As for the density of states at the Fermi level: 3.629 states/eV/f.u. The final energy comes out at -5.39 eV per atom. As for the space-group type: Cmmm, No. 65. Its crystal system is orthorhombic.